The following is a DFT calculation (meta-GGA SCAN) of a crystal of ScCuCl3 relaxed with PBEsol.

## Properties
**Crystal system**: cubic
**N(E_F)**: 2.8 states/eV/cell
**Symmetry**: Pm-3m (221)
**Theoretical density**: 3.04 Mg/m³
**Spin magnetization**: 0.9 μB per formula unit
**Formation energy (no corrections)**: -105 kJ per mole of atoms

Cell: 4.897 4.897 4.897 Å, 90.00 90.00 90.00°
Atoms (fractional coordinates):
Cl (0.000, 0.000, 0.500)
Cl (0.000, 0.500, 0.000)
Cl (0.500, 0.000, 0.000)
Cu (0.500, 0.500, 0.500)
Sc (0.000, 0.000, 0.000)